1.
Ac2Si4Rh5 | PBE-GGA | optimized geometry

Summary:
E_form (uncorrected) = -943 meV per atom
Total energy = -7.00 eV per atom
Space group = Fmmm

a = 5.753 Å, b = 5.823 Å, c = 7.590 Å
α = 79.21°, β = 67.73°, γ = 60.39°
Positions (direct):
Si  0.790  0.676  0.744
Ac  0.134  0.000  0.732
Rh  0.500  0.500  0.000
Rh  0.500  0.000  0.000
Rh  0.750  0.500  0.500
Rh  0.000  0.500  0.000
Si  0.466  0.324  0.744
Si  0.210  0.324  0.256
Si  0.534  0.676  0.256
Ac  0.866  0.000  0.268
Rh  0.250  0.500  0.500

***

2.
AcSiRh2 | PBE-GGA | optimized geometry

Summary:
E_form (uncorrected) = -871 meV per atom
Total energy = -6.93 eV per atom
Space group = Cmmm

a = 4.236 Å, b = 4.224 Å, c = 9.250 Å
α = 103.20°, β = 90.00°, γ = 90.00°
Positions (direct):
Ac  0.000  0.852  0.704
Si  0.500  0.573  0.145
Rh  0.500  0.296  0.592
Rh  0.000  0.500  0.000
Si  0.500  0.427  0.855
Rh  0.500  0.000  0.000
Rh  0.500  0.704  0.408
Ac  0.000  0.148  0.296

***

3.
AcSi2Rh | PBE-GGA | optimized geometry

Summary:
E_form (uncorrected) = -781 meV per atom
Total energy = -6.36 eV per atom
Relative energy among the computed polymorphs = 54 meV per atom
Space group = Cmmm

a = 4.425 Å, b = 4.184 Å, c = 9.173 Å
α = 103.18°, β = 90.00°, γ = 90.00°
Positions (direct):
Ac  0.000  0.144  0.289
Si  0.500  0.000  0.000
Rh  0.500  0.425  0.850
Ac  0.000  0.856  0.711
Si  0.000  0.500  0.000
Si  0.500  0.288  0.575
Rh  0.500  0.575  0.150
Si  0.500  0.712  0.425

***

4.
AcSi2Rh | PBE-GGA | optimized geometry

Summary:
E_form (uncorrected) = -321 meV per atom
Total energy = -5.90 eV per atom
Relative energy among the computed polymorphs = 514 meV per atom
Space group = P4/mmm

a = 3.316 Å, b = 3.316 Å, c = 7.047 Å
α = 90.00°, β = 90.00°, γ = 90.00°
Positions (direct):
Si  0.000  0.000  0.177
Ac  0.500  0.500  0.500
Rh  0.500  0.500  0.000
Si  0.000  0.000  0.823

***

5.
AcSiRh2 | PBE-GGA | optimized geometry

Summary:
E_form (uncorrected) = -699 meV per atom
Total energy = -6.76 eV per atom
Space group = C2/c

a = 5.717 Å, b = 5.895 Å, c = 6.259 Å
α = 104.66°, β = 103.42°, γ = 118.48°
Positions (direct):
Rh  0.736  0.647  0.222
Si  0.758  0.008  0.516
Ac  0.878  0.628  0.756
Ac  0.122  0.372  0.244
Rh  0.514  0.925  0.778
Rh  0.264  0.353  0.778
Rh  0.486  0.075  0.222
Si  0.242  0.992  0.484

***

6.
AcSi2Rh3 | PBE-GGA | optimized geometry

Summary:
E_form (uncorrected) = -757 meV per atom
Total energy = -6.93 eV per atom
Relative energy among the computed polymorphs = 126 meV per atom
Space group = P6/mmm

a = 3.925 Å, b = 9.635 Å, c = 9.635 Å
α = 120.00°, β = 90.00°, γ = 90.00°
Positions (direct):
Rh  0.000  0.000  0.714
Si  0.500  0.813  0.187
Si  0.500  0.625  0.813
Rh  0.500  0.000  0.500
Rh  0.500  0.500  0.000
Rh  0.500  0.500  0.500
Rh  0.000  0.286  0.000
Rh  0.000  0.714  0.714
Ac  0.500  0.000  0.000
Si  0.500  0.187  0.375
Ac  0.000  0.667  0.333
Rh  0.000  0.286  0.286
Rh  0.000  0.000  0.286
Si  0.500  0.813  0.625
Ac  0.000  0.333  0.667
Si  0.500  0.187  0.813
Si  0.500  0.375  0.187
Rh  0.000  0.714  0.000

***

> The highest total energy belongs to which entry?

number 4